No. 1
Material: SnTe2RuI
Method: DFT, GGA-PBE
State: optimized geometry

Cell: 5.2058 5.2058 5.5214 Å, 90.00 90.00 90.00°
With the nearest neighbours (Å) after each atom.
Fractional positions:
Sn1 0.0000 0.0000 0.0000  4 I 3.68, 8 Te 3.79
Te1 0.0000 0.5000 0.5000  2 Ru 2.60
Te2 0.5000 0.0000 0.5000  2 Ru 2.60
Ru1 0.5000 0.5000 0.5000  4 Te 2.60, 2 I 2.76
I1 0.5000 0.5000 0.0000  2 Ru 2.76

* SG: P4/mmm (123)
* energy above the most stable polymorph in this dataset: 0.000 eV/atom
* formation energy without anion corrections: 341 meV per atom
* crystal system: tetragonal
* size of the total moment: 0.0 Bohr magnetons per cell

***

No. 2
Material: RbLaSn3
Method: DFT, GGA-PBE
State: optimized geometry

Cell: 5.7932 5.7932 5.7932 Å, 90.00 90.00 90.00°
With the nearest neighbours (Å) after each atom.
Fractional positions:
Rb1 0.0000 0.0000 0.0000  6 Sn 2.90
La1 0.5000 0.5000 0.5000  12 Sn 4.10
Sn1 0.0000 0.0000 0.5000  2 Rb 2.90
Sn2 0.0000 0.5000 0.0000  2 Rb 2.90
Sn3 0.5000 0.0000 0.0000  2 Rb 2.90

* SG: Pm-3m (221)
* formation energy from the elements: 0.81 eV per atom
* energy above the most stable polymorph in this dataset: 0.627 eV/atom
* crystal system: cubic
* size of the total moment: 0.0 Bohr magnetons per cell

***

No. 3
Material: AgSn2GeMo
Method: DFT, GGA-PBE
State: optimized geometry

Cell: 5.3170 5.3170 4.8524 Å, 90.00 90.00 90.00°
With the nearest neighbours (Å) after each atom.
Fractional positions:
Ag1 0.0000 0.0000 0.0000  8 Sn 3.60, 4 Mo 3.76
Sn1 0.0000 0.5000 0.5000  2 Ge 2.66
Sn2 0.5000 0.0000 0.5000  2 Ge 2.66
Ge1 0.5000 0.5000 0.5000  2 Mo 2.43, 4 Sn 2.66
Mo1 0.5000 0.5000 0.0000  2 Ge 2.43

* SG: P4/mmm (123)
* formation energy from the elements: 1.00 eV per atom
* crystal system: tetragonal
* size of the total moment: 2.6 Bohr magnetons per cell

***

No. 4
Material: Ti2Sb2Pb4O13
Method: DFT, GGA-PBE
State: optimized geometry

Cell: 7.4639 7.4657 7.4696 Å, 119.90 119.75 90.22°
With the nearest neighbours (Å) after each atom.
Fractional positions:
Ti1 0.0000 0.0000 0.0000  5 O 1.85-2.05
Ti2 0.4843 0.9864 0.4954  5 O 1.83-2.01
Sb1 0.5060 0.9908 0.0125  6 O 2.00-2.04
Sb2 0.5070 0.4912 0.5123  6 O 2.00-2.03
Pb1 0.0055 0.5093 0.5213  3 O 2.32-2.57
Pb2 0.0062 0.9862 0.4875  3 O 2.32-2.52
Pb3 0.5067 0.4998 0.0243  2 O 2.32-2.57
Pb4 0.9837 0.4683 0.9945  3 O 2.32-2.53
O1 0.1267 0.3660 0.7573  4 Pb 2.32
O2 0.1886 0.9180 0.8797  1 Ti 1.97, 1 Sb 2.00
O3 0.1902 0.3074 0.2606  1 Ti 1.96, 1 Sb 2.00
O4 0.1959 0.9361 0.2742  1 Ti 1.83
O5 0.4299 0.6647 0.7607  2 Sb 2.03-2.04
O6 0.4336 0.0580 0.7610  1 Sb 2.00, 1 Ti 2.01
O7 0.4407 0.6712 0.3728  1 Sb 2.01, 1 Ti 2.01
O8 0.5707 0.9202 0.2605  1 Ti 2.00, 1 Sb 2.01
O9 0.5778 0.3075 0.6464  1 Ti 2.00, 1 Sb 2.00
O10 0.5783 0.3127 0.2608  2 Sb 2.01-2.02
O11 0.8257 0.0560 0.1521  1 Sb 2.01, 1 Ti 2.04
O12 0.8278 0.0662 0.7745  1 Ti 1.85
O13 0.8275 0.6703 0.7600  1 Sb 2.01, 1 Ti 2.05

* SG: P1 (1)
* formation energy without anion corrections: -1836 meV per atom
* crystal system: triclinic
* size of the total moment: 0.0 Bohr magnetons per cell

***

No. 5
Material: LaSmIn3
Method: DFT, GGA-PBE
State: optimized geometry

Cell: 12.3437 12.3437 12.3437 Å, 152.13 152.13 39.82°
With the nearest neighbours (Å) after each atom.
Fractional positions:
La1 0.0000 0.0000 0.0000  8 In 2.97-3.30
La2 0.7500 0.2500 0.5000  4 In 3.22
Sm1 0.4211 0.4211 0.0000  8 In 3.46-3.53, 1 Sm 3.66
Sm2 0.5789 0.5789 0.0000  8 In 3.46-3.53, 1 Sm 3.66
In1 0.3756 0.1270 0.2485  3 In 2.95-3.25, 2 La 3.22-3.30
In2 0.5028 0.0028 0.5000  2 La 2.97, 2 In 3.25
In3 0.8730 0.1215 0.2485  3 In 2.95-3.25, 2 La 3.22-3.30
In4 0.8730 0.6244 0.7515  3 In 2.95-3.25, 2 La 3.22-3.30
In5 0.8785 0.1270 0.7515  3 In 2.95-3.25, 2 La 3.22-3.30
In6 0.9972 0.4972 0.5000  2 La 2.97, 2 In 3.25

* SG: I-4m2 (119)
* formation energy from the elements: 0.09 eV per atom
* crystal system: tetragonal
* size of the total moment: 0.0 Bohr magnetons per cell

***

No. 6
Material: Pr3AgRu
Method: DFT, GGA-PBE
State: optimized geometry

Cell: 9.5074 8.5836 6.2294 Å, 78.08 62.05 39.87°
With the nearest neighbours (Å) after each atom.
Fractional positions:
Pr1 0.1904 0.1904 0.8096  4 Ru 3.25, 2 Ag 3.31, 2 Pr 3.54
Pr2 0.2036 0.5757 0.4243  2 Ru 2.85
Pr3 0.4243 0.7964 0.2036  2 Ru 2.85
Pr4 0.5757 0.2036 0.7964  2 Ru 2.85
Pr5 0.7964 0.4243 0.5757  2 Ru 2.85
Pr6 0.8096 0.8096 0.1904  4 Ru 3.25, 2 Ag 3.31, 2 Pr 3.54
Ag1 0.2070 0.7930 0.7930  1 Ag 2.75
Ag2 0.7930 0.2070 0.2070  1 Ag 2.75
Ru1 0.2500 0.2500 0.2500  4 Pr 2.85
Ru2 0.7500 0.7500 0.7500  4 Pr 2.85

* SG: Fmmm (69)
* formation energy from the elements: -0.20 eV per atom
* energy above the most stable polymorph in this dataset: 0.000 eV/atom
* crystal system: orthorhombic
* size of the total moment: 0.0 Bohr magnetons per cell

***

No. 7
Material: NpCdO6
Method: DFT, GGA-PBE
State: optimized geometry

Cell: 4.4675 4.4770 5.6603 Å, 77.64 80.00 80.48°
With the nearest neighbours (Å) after each atom.
Fractional positions:
Np1 0.0000 0.0000 0.0000  2 O 1.87
Cd1 0.5000 0.5000 0.5000  6 O 2.33-2.37
O1 0.0724 0.3632 0.7780  1 Np 1.87
O2 0.3174 0.9855 0.2730  1 O 1.44
O3 0.4586 0.8037 0.7973  1 O 1.44
O4 0.5414 0.1963 0.2027  1 O 1.44
O5 0.6826 0.0145 0.7270  1 O 1.44
O6 0.9276 0.6368 0.2220  1 Np 1.87

* SG: P-1 (2)
* formation energy without anion corrections: -1446 meV per atom
* crystal system: triclinic
* size of the total moment: 1.0 Bohr magnetons per cell

***

No. 8
Material: NbPb
Method: DFT, GGA-PBE
State: optimized geometry

Cell: 7.9173 7.9173 7.9173 Å, 90.00 90.00 90.00°
With the nearest neighbours (Å) after each atom.
Fractional positions:
Nb1 0.0000 0.2500 0.5000  4 Pb 2.80
Nb2 0.0000 0.7500 0.5000  4 Pb 2.80
Nb3 0.2500 0.5000 0.0000  4 Pb 2.80
Nb4 0.5000 0.0000 0.2500  4 Pb 2.80
Nb5 0.5000 0.0000 0.7500  4 Pb 2.80
Nb6 0.7500 0.5000 0.0000  4 Pb 2.80
Pb1 0.0000 0.5000 0.2500  4 Nb 2.80
Pb2 0.0000 0.5000 0.7500  4 Nb 2.80
Pb3 0.2500 0.0000 0.5000  4 Nb 2.80
Pb4 0.5000 0.2500 0.0000  4 Nb 2.80
Pb5 0.5000 0.7500 0.0000  4 Nb 2.80
Pb6 0.7500 0.0000 0.5000  4 Nb 2.80

* SG: Pm-3n (223)
* formation energy from the elements: 1.65 eV per atom
* energy above the most stable polymorph in this dataset: 1.407 eV/atom
* crystal system: cubic
* size of the total moment: 6.0 Bohr magnetons per cell

***

No. 9
Material: SrTmTlCl6
Method: DFT, GGA-PBE
State: optimized geometry

Cell: 7.3257 7.3257 13.4823 Å, 90.00 90.00 120.00°
With the nearest neighbours (Å) after each atom.
Fractional positions:
Sr1 0.3333 0.6667 0.2500  6 Cl 2.91
Sr2 0.6667 0.3333 0.7500  6 Cl 2.91
Tm1 0.3333 0.6667 0.7500  6 Cl 2.62
Tm2 0.6667 0.3333 0.2500  6 Cl 2.62
Tl1 0.0000 0.0000 0.0000  6 Cl 3.29
Tl2 0.0000 0.0000 0.5000  6 Cl 3.29
Cl1 0.0300 0.3841 0.6387  1 Tm 2.62, 1 Sr 2.91
Cl2 0.0300 0.6459 0.8613  1 Tm 2.62, 1 Sr 2.91
Cl3 0.3541 0.3841 0.8613  1 Tm 2.62, 1 Sr 2.91
Cl4 0.3541 0.9700 0.6387  1 Tm 2.62, 1 Sr 2.91
Cl5 0.3841 0.0300 0.1387  1 Tm 2.62, 1 Sr 2.91
Cl6 0.3841 0.3541 0.3613  1 Tm 2.62, 1 Sr 2.91
Cl7 0.6159 0.6459 0.6387  1 Tm 2.62, 1 Sr 2.91
Cl8 0.6159 0.9700 0.8613  1 Tm 2.62, 1 Sr 2.91
Cl9 0.6459 0.0300 0.3613  1 Tm 2.62, 1 Sr 2.91
Cl10 0.6459 0.6159 0.1387  1 Tm 2.62, 1 Sr 2.91
Cl11 0.9700 0.3541 0.1387  1 Tm 2.62, 1 Sr 2.91
Cl12 0.9700 0.6159 0.3613  1 Tm 2.62, 1 Sr 2.91

* SG: P-31c (163)
* formation energy without anion corrections: -2089 meV per atom
* crystal system: trigonal
* size of the total moment: 0.0 Bohr magnetons per cell

***

No. 10
Material: HSeBr2
Method: DFT, GGA-PBE
State: optimized geometry

Cell: 8.3159 8.3159 8.3159 Å, 25.02 25.02 25.02°
With the nearest neighbours (Å) after each atom.
Fractional positions:
H1 0.0000 0.0000 0.0000  2 Br 1.71
Se1 0.5000 0.5000 0.5000  6 Br 3.11
Br1 0.0709 0.0709 0.0709  1 H 1.71
Br2 0.9291 0.9291 0.9291  1 H 1.71

* SG: R-3m (166)
* energy above the most stable polymorph in this dataset: 0.572 eV/atom
* crystal system: trigonal
* size of the total moment: 0.0 Bohr magnetons per cell

***

No. 11
Material: HoBeCoN
Method: DFT, GGA-PBE
State: optimized geometry

Cell: 3.4507 3.4507 8.2659 Å, 90.00 90.00 90.00°
With the nearest neighbours (Å) after each atom.
Fractional positions:
Ho1 0.2500 0.2500 0.1510  5 N 2.33-2.45
Ho2 0.7500 0.7500 0.8490  5 N 2.33-2.45
Be1 0.2500 0.2500 0.6742  1 N 1.61
Be2 0.7500 0.7500 0.3258  1 N 1.61
Co1 0.2500 0.7500 0.5000  4 Be 2.25, 4 Co 2.44
Co2 0.7500 0.2500 0.5000  4 Be 2.25, 4 Co 2.44
N1 0.2500 0.2500 0.8693  1 Be 1.61
N2 0.7500 0.7500 0.1307  1 Be 1.61

* SG: P4/nmm (129)
* formation energy without anion corrections: -900 meV per atom
* crystal system: tetragonal
* size of the total moment: 2.1 Bohr magnetons per cell

***

No. 12
Material: Dy4Zn3
Method: DFT, GGA-PBE
State: optimized geometry

Cell: 8.5485 8.5485 8.5485 Å, 34.06 34.06 34.06°
With the nearest neighbours (Å) after each atom.
Fractional positions:
Dy1 0.1210 0.1210 0.1210  7 Zn 3.01-3.09
Dy2 0.3727 0.3727 0.3727  5 Zn 3.02-3.10
Dy3 0.6273 0.6273 0.6273  5 Zn 3.02-3.10
Dy4 0.8790 0.8790 0.8790  7 Zn 3.01-3.09
Zn1 0.2475 0.2475 0.2475  8 Dy 3.01-3.10
Zn2 0.5000 0.5000 0.5000  8 Dy 3.07-3.09
Zn3 0.7525 0.7525 0.7525  8 Dy 3.01-3.10

* SG: R-3m (166)
* formation energy from the elements: -0.20 eV per atom
* energy above the most stable polymorph in this dataset: 0.000 eV/atom
* crystal system: trigonal
* size of the total moment: 0.0 Bohr magnetons per cell

***

Copy entry 1 word for word.
Material: SnTe2RuI
Method: DFT, GGA-PBE
State: optimized geometry

Cell: 5.2058 5.2058 5.5214 Å, 90.00 90.00 90.00°
With the nearest neighbours (Å) after each atom.
Fractional positions:
Sn1 0.0000 0.0000 0.0000  4 I 3.68, 8 Te 3.79
Te1 0.0000 0.5000 0.5000  2 Ru 2.60
Te2 0.5000 0.0000 0.5000  2 Ru 2.60
Ru1 0.5000 0.5000 0.5000  4 Te 2.60, 2 I 2.76
I1 0.5000 0.5000 0.0000  2 Ru 2.76

* SG: P4/mmm (123)
* energy above the most stable polymorph in this dataset: 0.000 eV/atom
* formation energy without anion corrections: 341 meV per atom
* crystal system: tetragonal
* size of the total moment: 0.0 Bohr magnetons per cell

***

Look up the size of the total moment of the twelfth one. 0.0 Bohr magnetons per cell